[1]
Density functional theory data (GGA-PBE) for a geometry-optimized CeUOs structure.

```
CeUOs
1.0
3.248 -0.001 0.002
0.001 5.211 0.002
1.616 2.599 7.543
Ce U Os
2 2 2
direct
0.068 0.014 0.780 Ce
0.835 0.281 0.248 Ce
0.135 0.581 0.648 U
0.769 0.715 0.380 U
0.495 0.440 0.929 Os
0.409 0.855 0.100 Os
```

Values from the calculation:
E_form = 0.005 eV per atom
Excess energy over the best structure of this formula in the dataset = 119 meV/atom
Total DFT energy (no corrections) = -56.88 eV for the cell shown
Symmetry = No. 74

=====

[2]
Density functional theory data (GGA-PBE) for a geometry-optimized K2Ir2N structure.

```
K2Ir2N
1.0
6.520 0.000 0.000
0.000 6.520 0.000
3.260 3.260 3.097
N K Ir
1 2 2
direct
0.000 0.000 0.000 N
0.750 0.250 0.500 K
0.250 0.750 0.500 K
0.709 0.709 0.581 Ir
0.291 0.291 0.419 Ir
```

Values from the calculation:
Excess energy over the best structure of this formula in the dataset = 71 meV/atom
ΔE_f (raw) = 0.6768 eV per atom
Total DFT energy (no corrections) = -24.86 eV for the cell shown
Symmetry = No. 139

=====

[3]
Density functional theory data (GGA-PBE) for a geometry-optimized Ac2ZnCuPd6 structure.

```
Ac2ZnCuPd6
1.0
-3.059 -0.342 -4.987
-6.829 -1.833 4.311
-7.662 2.964 1.050
Ac Cu Zn Pd
2 1 1 6
direct
0.785 0.215 0.430 Ac
0.215 0.785 0.570 Ac
0.500 0.500 0.000 Cu
0.000 0.000 0.000 Zn
0.250 0.750 0.998 Pd
0.750 0.752 0.500 Pd
0.250 0.248 0.500 Pd
0.750 0.250 0.002 Pd
0.248 0.250 0.002 Pd
0.752 0.750 0.998 Pd
```

Values from the calculation:
E_form = -0.498 eV per atom
Total DFT energy (no corrections) = -49.72 eV for the cell shown
Symmetry = No. 166